## A
DFT (PBE) results for a geometry-optimized Sm3YS6 structure.

The structure in CIF format:
```
data_Sm3YS6
_cell_length_a 7.053
_cell_length_b 7.053
_cell_length_c 7.453
_cell_angle_alpha 61.76
_cell_angle_beta 61.76
_cell_angle_gamma 60.00
_symmetry_space_group_name_H-M 'P 1'
_symmetry_Int_Tables_number 1
loop_
_symmetry_equiv_pos_as_xyz
'x,y,z'
loop_
_atom_site_label
_atom_site_type_symbol
_atom_site_fract_x
_atom_site_fract_y
_atom_site_fract_z
_atom_site_occupancy
Sm1 Sm 0.353 0.353 0.942 1
Sm2 Sm 0.646 0.646 0.062 1
Sm3 Sm 0.148 0.148 0.556 1
Y1 Y 0.850 0.850 0.450 1
S1 S 0.955 0.556 0.249 1
S2 S 0.240 0.955 0.249 1
S3 S 0.556 0.240 0.249 1
S4 S 0.047 0.456 0.748 1
S5 S 0.749 0.047 0.748 1
S6 S 0.456 0.749 0.748 1
```

=====

## B
DFT (PBE) results for a geometry-optimized Sm3YS6 structure.

The structure in CIF format:
```
data_Sm3YS6
_cell_length_a 8.172
_cell_length_b 8.172
_cell_length_c 8.172
_cell_angle_alpha 91.28
_cell_angle_beta 91.28
_cell_angle_gamma 91.28
_symmetry_space_group_name_H-M 'P 1'
_symmetry_Int_Tables_number 1
loop_
_symmetry_equiv_pos_as_xyz
'x,y,z'
loop_
_atom_site_label
_atom_site_type_symbol
_atom_site_fract_x
_atom_site_fract_y
_atom_site_fract_z
_atom_site_occupancy
Sm1 Sm 0.433 0.924 0.752 1
Sm2 Sm 0.924 0.752 0.433 1
Sm3 Sm 0.248 0.567 0.076 1
Sm4 Sm 0.752 0.433 0.924 1
Sm5 Sm 0.076 0.248 0.567 1
Sm6 Sm 0.567 0.076 0.248 1
Y1 Y 0.000 0.000 0.000 1
Y2 Y 0.500 0.500 0.500 1
S1 S 0.313 0.910 0.079 1
S2 S 0.090 0.921 0.687 1
S3 S 0.593 0.816 0.463 1
S4 S 0.921 0.687 0.090 1
S5 S 0.463 0.593 0.816 1
S6 S 0.184 0.537 0.407 1
S7 S 0.816 0.463 0.593 1
S8 S 0.537 0.407 0.184 1
S9 S 0.079 0.313 0.910 1
S10 S 0.407 0.184 0.537 1
S11 S 0.910 0.079 0.313 1
S12 S 0.687 0.090 0.921 1
```

=====

Energy above the most stable structure, in kJ/mol of atoms: A 2.2; B 0.0

=====

## A
DFT (PBE) results for a geometry-optimized SmY3S6 structure.

The structure in CIF format:
```
data_SmY3S6
_cell_length_a 3.982
_cell_length_b 11.085
_cell_length_c 11.355
_cell_angle_alpha 108.67
_cell_angle_beta 90.00
_cell_angle_gamma 90.00
_symmetry_space_group_name_H-M 'P 1'
_symmetry_Int_Tables_number 1
loop_
_symmetry_equiv_pos_as_xyz
'x,y,z'
loop_
_atom_site_label
_atom_site_type_symbol
_atom_site_fract_x
_atom_site_fract_y
_atom_site_fract_z
_atom_site_occupancy
Sm1 Sm 0.750 0.046 0.692 1
Sm2 Sm 0.250 0.954 0.308 1
Y1 Y 0.750 0.436 0.832 1
Y2 Y 0.250 0.564 0.168 1
Y3 Y 0.750 0.682 0.503 1
Y4 Y 0.250 0.318 0.497 1
Y5 Y 0.750 0.161 0.085 1
Y6 Y 0.250 0.839 0.915 1
S1 S 0.750 0.477 0.612 1
S2 S 0.250 0.523 0.388 1
S3 S 0.750 0.918 0.097 1
S4 S 0.250 0.082 0.903 1
S5 S 0.750 0.397 0.062 1
S6 S 0.250 0.603 0.938 1
S7 S 0.750 0.741 0.275 1
S8 S 0.250 0.259 0.725 1
S9 S 0.750 0.114 0.463 1
S10 S 0.250 0.886 0.537 1
S11 S 0.750 0.807 0.751 1
S12 S 0.250 0.193 0.249 1
```

=====

## B
DFT (PBE) results for a geometry-optimized SmY3S6 structure.

The structure in CIF format:
```
data_SmY3S6
_cell_length_a 6.966
_cell_length_b 6.966
_cell_length_c 7.390
_cell_angle_alpha 61.88
_cell_angle_beta 61.88
_cell_angle_gamma 60.00
_symmetry_space_group_name_H-M 'P 1'
_symmetry_Int_Tables_number 1
loop_
_symmetry_equiv_pos_as_xyz
'x,y,z'
loop_
_atom_site_label
_atom_site_type_symbol
_atom_site_fract_x
_atom_site_fract_y
_atom_site_fract_z
_atom_site_occupancy
Sm1 Sm 0.853 0.853 0.440 1
Y1 Y 0.350 0.350 0.949 1
Y2 Y 0.651 0.651 0.048 1
Y3 Y 0.149 0.149 0.553 1
S1 S 0.947 0.542 0.251 1
S2 S 0.260 0.947 0.251 1
S3 S 0.542 0.260 0.251 1
S4 S 0.051 0.446 0.752 1
S5 S 0.751 0.051 0.752 1
S6 S 0.446 0.751 0.752 1
```

=====

Energy above the most stable structure, in kJ/mol of atoms: A 0.0; B 2.8

=====

## A
DFT (PBE) results for a geometry-optimized SrSn2S3 structure.

The structure in CIF format:
```
data_SrSn2S3
_cell_length_a 6.078
_cell_length_b 8.408
_cell_length_c 12.591
_cell_angle_alpha 90.00
_cell_angle_beta 90.00
_cell_angle_gamma 90.14
_symmetry_space_group_name_H-M 'P 1'
_symmetry_Int_Tables_number 1
loop_
_symmetry_equiv_pos_as_xyz
'x,y,z'
loop_
_atom_site_label
_atom_site_type_symbol
_atom_site_fract_x
_atom_site_fract_y
_atom_site_fract_z
_atom_site_occupancy
Sr1 Sr 0.249 0.870 0.085 1
Sr2 Sr 0.249 0.370 0.415 1
Sr3 Sr 0.751 0.630 0.585 1
Sr4 Sr 0.751 0.130 0.915 1
Sn1 Sn 0.271 0.872 0.750 1
Sn2 Sn 0.271 0.372 0.750 1
Sn3 Sn 0.274 0.868 0.418 1
Sn4 Sn 0.274 0.368 0.082 1
Sn5 Sn 0.726 0.632 0.918 1
Sn6 Sn 0.726 0.132 0.582 1
Sn7 Sn 0.729 0.628 0.250 1
Sn8 Sn 0.729 0.128 0.250 1
S1 S 0.255 0.632 0.581 1
S2 S 0.255 0.132 0.919 1
S3 S 0.294 0.624 0.914 1
S4 S 0.294 0.124 0.586 1
S5 S 0.294 0.628 0.254 1
S6 S 0.294 0.128 0.246 1
S7 S 0.706 0.872 0.754 1
S8 S 0.706 0.372 0.746 1
S9 S 0.706 0.876 0.414 1
S10 S 0.706 0.376 0.086 1
S11 S 0.745 0.868 0.081 1
S12 S 0.745 0.368 0.419 1
```

=====

## B
DFT (PBE) results for a geometry-optimized SrSn2S3 structure.

The structure in CIF format:
```
data_SrSn2S3
_cell_length_a 3.909
_cell_length_b 7.766
_cell_length_c 10.370
_cell_angle_alpha 90.00
_cell_angle_beta 90.00
_cell_angle_gamma 90.00
_symmetry_space_group_name_H-M 'P 1'
_symmetry_Int_Tables_number 1
loop_
_symmetry_equiv_pos_as_xyz
'x,y,z'
loop_
_atom_site_label
_atom_site_type_symbol
_atom_site_fract_x
_atom_site_fract_y
_atom_site_fract_z
_atom_site_occupancy
Sr1 Sr 0.000 0.970 0.883 1
Sr2 Sr 0.000 0.470 0.117 1
Sn1 Sn 0.000 0.005 0.264 1
Sn2 Sn 0.500 0.046 0.537 1
Sn3 Sn 0.000 0.505 0.736 1
Sn4 Sn 0.500 0.546 0.463 1
S1 S 0.500 0.139 0.095 1
S2 S 0.500 0.204 0.752 1
S3 S 0.000 0.337 0.393 1
S4 S 0.500 0.639 0.905 1
S5 S 0.500 0.704 0.248 1
S6 S 0.000 0.837 0.607 1
```

=====

Energy above the most stable structure, in kJ/mol of atoms: A 0.0; B 8.0

=====

## A
DFT (PBE) results for a geometry-optimized TaSn3S structure.

The structure in CIF format:
```
data_TaSn3S
_cell_length_a 5.069
_cell_length_b 5.069
_cell_length_c 5.069
_cell_angle_alpha 90.00
_cell_angle_beta 90.00
_cell_angle_gamma 90.00
_symmetry_space_group_name_H-M 'P 1'
_symmetry_Int_Tables_number 1
loop_
_symmetry_equiv_pos_as_xyz
'x,y,z'
loop_
_atom_site_label
_atom_site_type_symbol
_atom_site_fract_x
_atom_site_fract_y
_atom_site_fract_z
_atom_site_occupancy
S1 S 0.000 0.000 0.000 1
Sn1 Sn 0.000 0.500 0.000 1
Sn2 Sn 0.000 0.000 0.500 1
Sn3 Sn 0.500 0.000 0.000 1
Ta1 Ta 0.500 0.500 0.500 1
```

=====

## B
DFT (PBE) results for a geometry-optimized TaSn3S structure.

The structure in CIF format:
```
data_TaSn3S
_cell_length_a 5.391
_cell_length_b 5.391
_cell_length_c 5.391
_cell_angle_alpha 90.00
_cell_angle_beta 90.00
_cell_angle_gamma 90.00
_symmetry_space_group_name_H-M 'P 1'
_symmetry_Int_Tables_number 1
loop_
_symmetry_equiv_pos_as_xyz
'x,y,z'
loop_
_atom_site_label
_atom_site_type_symbol
_atom_site_fract_x
_atom_site_fract_y
_atom_site_fract_z
_atom_site_occupancy
S1 S 0.500 0.500 0.500 1
Sn1 Sn 0.000 0.500 0.000 1
Sn2 Sn 0.000 0.000 0.500 1
Sn3 Sn 0.500 0.000 0.000 1
Ta1 Ta 0.000 0.000 0.000 1
```

=====

Energy above the most stable structure, in kJ/mol of atoms: A 32.0; B 0.0

=====

## A
DFT (PBE) results for a geometry-optimized TaSnS4 structure.

The structure in CIF format:
```
data_TaSnS4
_cell_length_a 6.374
_cell_length_b 6.278
_cell_length_c 6.332
_cell_angle_alpha 90.00
_cell_angle_beta 86.42
_cell_angle_gamma 90.00
_symmetry_space_group_name_H-M 'P 1'
_symmetry_Int_Tables_number 1
loop_
_symmetry_equiv_pos_as_xyz
'x,y,z'
loop_
_atom_site_label
_atom_site_type_symbol
_atom_site_fract_x
_atom_site_fract_y
_atom_site_fract_z
_atom_site_occupancy
Ta1 Ta 0.000 0.000 0.000 1
Ta2 Ta 0.500 0.500 0.000 1
Sn1 Sn 0.500 0.000 0.500 1
Sn2 Sn 0.000 0.500 0.500 1
S1 S 0.832 0.656 0.118 1
S2 S 0.668 0.156 0.882 1
S3 S 0.383 0.374 0.344 1
S4 S 0.117 0.874 0.656 1
S5 S 0.168 0.344 0.882 1
S6 S 0.332 0.844 0.118 1
S7 S 0.617 0.626 0.656 1
S8 S 0.883 0.126 0.344 1
```

=====

## B
DFT (PBE) results for a geometry-optimized TaSnS4 structure.

The structure in CIF format:
```
data_TaSnS4
_cell_length_a 3.565
_cell_length_b 6.532
_cell_length_c 7.454
_cell_angle_alpha 63.67
_cell_angle_beta 76.23
_cell_angle_gamma 90.00
_symmetry_space_group_name_H-M 'P 1'
_symmetry_Int_Tables_number 1
loop_
_symmetry_equiv_pos_as_xyz
'x,y,z'
loop_
_atom_site_label
_atom_site_type_symbol
_atom_site_fract_x
_atom_site_fract_y
_atom_site_fract_z
_atom_site_occupancy
Ta1 Ta 0.000 0.000 0.000 1
Sn1 Sn 0.500 0.500 0.000 1
S1 S 0.889 0.580 0.223 1
S2 S 0.610 0.958 0.778 1
S3 S 0.390 0.042 0.222 1
S4 S 0.111 0.420 0.777 1
```

=====

Energy above the most stable structure, in kJ/mol of atoms: A 17.3; B 0.0

=====

## A
DFT (PBE) results for a geometry-optimized Ta2SnS structure.

The structure in CIF format:
```
data_Ta2SnS
_cell_length_a 4.649
_cell_length_b 4.649
_cell_length_c 4.649
_cell_angle_alpha 60.00
_cell_angle_beta 60.00
_cell_angle_gamma 60.00
_symmetry_space_group_name_H-M 'P 1'
_symmetry_Int_Tables_number 1
loop_
_symmetry_equiv_pos_as_xyz
'x,y,z'
loop_
_atom_site_label
_atom_site_type_symbol
_atom_site_fract_x
_atom_site_fract_y
_atom_site_fract_z
_atom_site_occupancy
S1 S 0.000 0.000 0.000 1
Sn1 Sn 0.500 0.500 0.500 1
Ta1 Ta 0.250 0.250 0.250 1
Ta2 Ta 0.750 0.750 0.750 1
```

=====

## B
DFT (PBE) results for a geometry-optimized Ta2SnS structure.

The structure in CIF format:
```
data_Ta2SnS
_cell_length_a 4.936
_cell_length_b 4.936
_cell_length_c 8.494
_cell_angle_alpha 73.11
_cell_angle_beta 73.11
_cell_angle_gamma 90.00
_symmetry_space_group_name_H-M 'P 1'
_symmetry_Int_Tables_number 1
loop_
_symmetry_equiv_pos_as_xyz
'x,y,z'
loop_
_atom_site_label
_atom_site_type_symbol
_atom_site_fract_x
_atom_site_fract_y
_atom_site_fract_z
_atom_site_occupancy
S1 S 0.500 0.500 0.000 1
S2 S 0.250 0.750 0.500 1
Sn1 Sn 0.000 0.000 0.000 1
Sn2 Sn 0.750 0.250 0.500 1
Ta1 Ta 0.521 0.125 0.250 1
Ta2 Ta 0.229 0.625 0.250 1
Ta3 Ta 0.375 0.479 0.750 1
Ta4 Ta 0.875 0.771 0.750 1
```

=====

Energy above the most stable structure, in kJ/mol of atoms: A 0.0; B 35.9